(1)
Entry from Alexandria via LeMat-Bulk: an optimized crystal structure of TbPuBiPb (PBE-GGA).

Cell: 7.753 7.753 7.753 Å, 90.00 90.00 90.00°
Space group F-43m (No. 216)
One atom of each set of equivalent atoms:
Tb (0.000, 0.000, 0.000)
Pu (0.000, 0.000, 0.500)
Bi (0.250, 0.250, 0.250)
Pb (0.250, 0.250, 0.750)

## Properties
E_form	-316	meV/atom
density of states at the Fermi level	54.395	states/eV per cell
DFT total energy	-111.3	eV/cell

(2)
Entry from Alexandria via LeMat-Bulk: an optimized crystal structure of Y5TlSe8 (PBE-GGA).

Cell: 12.132 12.132 12.132 Å, 90.00 90.00 90.00°
Space group F-43m (No. 216)
One atom of each set of equivalent atoms:
Y (0.000, 0.000, 0.000)
Y (0.121, 0.121, 0.379)
Tl (0.250, 0.250, 0.750)
Se (0.110, 0.110, 0.610)
Se (0.133, 0.133, 0.133)

## Properties
DFT total energy	-342.9	eV/cell
raw formation energy	-23.17	eV/f.u.